First-principles (PBE) data for a relaxed LiCd2Ga crystal, as listed in the Alexandria database.

POSCAR file:
```
LiCd2Ga
1.0
2.635 -1.608 0.000
2.635 1.608 0.000
-1.907 0.000 9.500
Li Cd Ga
1 2 1
Cartesian
0.000 0.000 0.000 Li
1.899 0.000 2.290 Cd
1.475 0.000 7.201 Cd
-0.108 0.000 4.739 Ga
```

Results
SG ... No. 8
Total moment ... 0.0 μB per cell
Uncorrected energy ... -1.76 eV per atom
Crystal system ... monoclinic
Calculated formation energy ... -0.07 eV/atom